## PrNiClO2 (GGA+U)

Data for a relaxed PrNiClO2 crystal.

```
PrNiClO2
1.0
4.021 0.000 0.000
0.000 4.021 0.000
0.000 0.000 5.653
Pr Ni Cl O
1 1 1 2
direct
0.000 0.000 0.000 Pr
0.500 0.500 0.291 Ni
0.500 0.500 0.717 Cl
0.000 0.500 0.201 O
0.500 0.000 0.201 O
```

M_tot ... 2.00 μB/cell
DFT total energy ... -0.2162 Ha/atom